P | The following is a PBE calculation of a geometry-optimized AgSbI structure, from the Alexandria database.

The structure in CIF format:
```
data_AgSbI
_chemical_formula_sum 'Ag2 Sb2 I2'
_space_group_name_H-M_alt 'C 1 m 1'
_space_group_IT_number 8
_cell_length_a 12.0247
_cell_length_b 3.8115
_cell_length_c 4.3313
_cell_angle_alpha 90.00
_cell_angle_beta 98.59
_cell_angle_gamma 90.00
loop_
_space_group_symop_operation_xyz
'x,y,z'
'x,-y,z'
'x+1/2,y+1/2,z'
'x+1/2,-y+1/2,z'
loop_
_atom_site_label
_atom_site_fract_x
_atom_site_fract_y
_atom_site_fract_z
_atom_site_occupancy
Ag1 0.0000 0.0000 0.0000 1
Sb1 0.0263 0.5000 0.5050 1
I1 0.2654 0.5000 0.5630 1
```

Values from the calculation:
**Total moment**: 0.000 μB/atom


Q | The following is a PBE calculation of a geometry-optimized AgSbI structure, from the Alexandria database.

The structure in CIF format:
```
data_AgSbI
_chemical_formula_sum 'Ag2 Sb2 I2'
_space_group_name_H-M_alt 'P 1'
_space_group_IT_number 1
_cell_length_a 4.1784
_cell_length_b 6.5623
_cell_length_c 7.0430
_cell_angle_alpha 87.88
_cell_angle_beta 86.21
_cell_angle_gamma 89.46
loop_
_space_group_symop_operation_xyz
'x,y,z'
loop_
_atom_site_label
_atom_site_fract_x
_atom_site_fract_y
_atom_site_fract_z
_atom_site_occupancy
Ag1 0.0000 0.0000 0.0000 1
Ag2 0.4961 0.2761 0.1322 1
Sb1 0.0595 0.3739 0.7928 1
Sb2 0.5882 0.2323 0.5393 1
I1 0.4412 0.7219 0.1579 1
I2 0.7934 0.8264 0.6330 1
```

Values from the calculation:
**Total moment**: 0.000 μB/atom


R | The following is a PBE calculation of a geometry-optimized AgSbI structure, from the Alexandria database.

The structure in CIF format:
```
data_AgSbI
_chemical_formula_sum 'Ag2 Sb2 I2'
_space_group_name_H-M_alt 'P 1'
_space_group_IT_number 1
_cell_length_a 4.2979
_cell_length_b 7.3365
_cell_length_c 7.7083
_cell_angle_alpha 112.80
_cell_angle_beta 104.74
_cell_angle_gamma 100.15
loop_
_space_group_symop_operation_xyz
'x,y,z'
loop_
_atom_site_label
_atom_site_fract_x
_atom_site_fract_y
_atom_site_fract_z
_atom_site_occupancy
Ag1 0.0000 0.0000 0.0000 1
Ag2 0.0819 0.4499 0.3203 1
Sb1 0.0004 0.0700 0.3928 1
Sb2 0.3078 0.7866 0.1970 1
I1 0.5606 0.2355 0.9331 1
I2 0.7450 0.6221 0.6073 1
```

Values from the calculation:
**Total moment**: 0.000 μB/atom


What is the most stable structure shown above? It is R.